{"formula": "AsOF2", "functional": "PBE", "state": "optimized geometry", "lattice": [[-1.816, 2.704, 3.369], [1.816, -2.704, 3.369], [1.816, 2.704, -3.369]], "species": ["As", "O", "F", "F"], "frac_coords": [[0.000, 0.000, 0.000], [0.000, 0.500, 0.500], [0.273, 0.273, 0.000], [0.727, 0.727, 0.000]], "e_form_raw_ev_per_atom": -1.24, "vol_a3_per_fu": 66.15, "final_energy_ev_per_atom": -4.5796, "polymorph_energy_mev_per_atom": 376, "n_ef_per_ev_fu": 0.9, "space_group": "Immm, No. 71"}